[1]
Material: ZrW2Cl
Method: DFT, PBE
State: relaxed

Calculated values
Excess energy over the best structure of this formula in the dataset in eV per formula unit: 4.47
Total moment in μB per atom: 0.00
ΔE_f (raw) in eV per atom: 1.084

a = 4.6271 Å, b = 4.6271 Å, c = 3.2992 Å
α = 90.00°, β = 90.00°, γ = 90.00°
Atoms (fractional coordinates):
Zr: 0.0000 0.0000 0.0000
W: 0.0000 0.5000 0.5000
W: 0.5000 0.0000 0.5000
Cl: 0.5000 0.5000 0.0000

---

[2]
Material: AcLaNbN3
Method: DFT, PBE
State: relaxed

Calculated values
Total moment in μB per atom: 0.07
ΔE_f (raw) in eV per atom: -0.994

a = 7.8867 Å, b = 3.6873 Å, c = 8.1989 Å
α = 90.00°, β = 96.21°, γ = 90.00°
Atoms (fractional coordinates):
Ac: 0.1683 0.2500 0.1703
Ac: 0.8317 0.7500 0.8297
La: 0.1766 0.2500 0.6098
La: 0.8234 0.7500 0.3902
Nb: 0.4038 0.7500 0.8962
Nb: 0.5962 0.2500 0.1038
N: 0.1190 0.7500 0.3916
N: 0.1565 0.7500 0.8913
N: 0.4905 0.7500 0.1576
N: 0.5095 0.2500 0.8424
N: 0.8435 0.2500 0.1087
N: 0.8810 0.2500 0.6084

---

[3]
Material: Ce3As2S
Method: DFT, PBE
State: relaxed

Calculated values
Excess energy over the best structure of this formula in the dataset in eV per formula unit: 0.00
Total moment in μB per atom: 0.41
ΔE_f (raw) in eV per atom: -1.632

a = 7.1989 Å, b = 7.1989 Å, c = 7.1989 Å
α = 146.36°, β = 131.72°, γ = 60.13°
Atoms (fractional coordinates):
Ce: 0.0000 0.0000 0.0000
Ce: 0.3377 0.3377 0.0000
Ce: 0.6623 0.6623 0.0000
As: 0.1682 0.6682 0.5000
As: 0.8318 0.3318 0.5000
S: 0.5000 0.0000 0.5000